VASP calculation (PBE) on a relaxed Sc3AgO crystal.

Properties
Crystal system: tetragonal
Formation energy from raw total energies (eV/atom): -0.63
ρ (Mg/m³): 3.24
Symmetry: P4mm
Energy above the most stable polymorph in this dataset (meV per atom): 735
M_tot (μB per atom): 0.334

Cell: 4.2007 4.2007 7.5217 Å, 90.00 90.00 90.00°
Closest atoms and distances in Å follow each position.
Positions (direct):
Sc  0.0000  0.0000  0.0000  1 Ag 2.86
Sc  0.0000  0.5000  0.6565  2 O 2.10
Sc  0.5000  0.0000  0.6565  2 O 2.10
Ag  0.0000  0.0000  0.3800  5 Sc 2.86-2.96
O  0.5000  0.5000  0.6404  4 Sc 2.10

VASP calculation (PBE) on a relaxed KZrBe crystal.

Properties
Crystal system: tetragonal
Formation energy (meV per atom): 565
ρ (Mg/m³): 2.97
Symmetry: I4mm
Energy above the most stable polymorph in this dataset (meV per atom): 0
M_tot (μB per atom): 0.000

Cell: 3.2586 3.2586 14.6920 Å, 90.00 90.00 90.00°
Closest atoms and distances in Å follow each position.
Positions (direct):
K  0.0000  0.0000  0.0000  4 K 3.26, 4 Be 3.46
K  0.5000  0.5000  0.5000  4 K 3.26, 4 Be 3.46
Zr  0.0000  0.0000  0.2596  4 Be 2.61
Zr  0.5000  0.5000  0.7596  4 Be 2.61
Be  0.0000  0.0000  0.6761  4 Zr 2.61
Be  0.5000  0.5000  0.1761  4 Zr 2.61

VASP calculation (PBE) on a relaxed Pt2Pb crystal.

Properties
Crystal system: monoclinic
Formation energy (meV per atom): -31
ρ (Mg/m³): 16.62
Symmetry: C2/m
M_tot (μB per atom): 0.000

Cell: 10.4723 3.9187 7.4971 Å, 90.00 129.11 90.00°
Closest atoms and distances in Å follow each position.
Positions (direct):
Pt  0.1414  0.0000  0.0161  4 Pt 2.73-2.82, 2 Pb 2.80
Pt  0.1679  0.0000  0.6702  4 Pt 2.73-2.78, 3 Pb 2.79-2.90
Pt  0.3321  0.5000  0.3298  4 Pt 2.73-2.78, 3 Pb 2.79-2.90
Pt  0.3586  0.5000  0.9839  4 Pt 2.73-2.82, 2 Pb 2.80
Pt  0.6414  0.5000  0.0161  4 Pt 2.73-2.82, 2 Pb 2.80
Pt  0.6679  0.5000  0.6702  4 Pt 2.73-2.78, 3 Pb 2.79-2.90
Pt  0.8321  0.0000  0.3298  4 Pt 2.73-2.78, 3 Pb 2.79-2.90
Pt  0.8586  0.0000  0.9839  4 Pt 2.73-2.82, 2 Pb 2.80
Pb  0.0597  0.5000  0.3152  5 Pt 2.79-2.90
Pb  0.4403  0.0000  0.6848  5 Pt 2.79-2.90
Pb  0.5597  0.0000  0.3152  5 Pt 2.79-2.90
Pb  0.9403  0.5000  0.6848  5 Pt 2.79-2.90

VASP calculation (PBE) on a relaxed Nd10Er4Pu crystal.

Properties
Crystal system: tetragonal
Formation energy (meV per atom): 350
ρ (Mg/m³): 7.57
Symmetry: I4/m
M_tot (μB per atom): 0.381

Cell: 8.7648 8.7648 8.7648 Å, 111.51 111.51 105.47°
Closest atoms and distances in Å follow each position.
Positions (direct):
Nd  0.0429  0.9447  0.6722  5 Nd 3.20-3.39
Nd  0.0553  0.7275  0.0982  5 Nd 3.20-3.39
Nd  0.2500  0.7500  0.5000  4 Nd 3.20, 4 Er 3.21
Nd  0.2725  0.3707  0.3278  5 Nd 3.20-3.39
Nd  0.3707  0.0429  0.0982  5 Nd 3.20-3.39
Nd  0.6293  0.9571  0.9018  5 Nd 3.20-3.39
Nd  0.7275  0.6293  0.6722  5 Nd 3.20-3.39
Nd  0.7500  0.2500  0.5000  4 Nd 3.20, 4 Er 3.21
Nd  0.9447  0.2725  0.9018  5 Nd 3.20-3.39
Nd  0.9571  0.0553  0.3278  5 Nd 3.20-3.39
Er  0.1726  0.5602  0.7328  2 Nd 3.21, 1 Pu 3.28
Er  0.4398  0.1726  0.6124  2 Nd 3.21, 1 Pu 3.28
Er  0.5602  0.8274  0.3876  2 Nd 3.21, 1 Pu 3.28
Er  0.8274  0.4398  0.2672  2 Nd 3.21, 1 Pu 3.28
Pu  0.5000  0.5000  0.0000  4 Er 3.28